[1]
## Ba2NaSnAs (PBE)

Data for an optimized crystal structure of Ba2NaSnAs.

a b c (Å): 6.3566 6.3566 5.3856
angles (deg): 90.00 90.00 90.00
With the nearest neighbours (Å) after each atom.
Space group P4/mmm (No. 123)
Asymmetric unit:
Ba: 0.0000 0.5000 0.0000 (multiplicity 2)  2 As 3.18
Na: 0.0000 0.0000 0.5000 (multiplicity 1)  2 As 2.69
Sn: 0.5000 0.5000 0.5000 (multiplicity 1)  8 Ba 4.17, 4 Na 4.49
As: 0.0000 0.0000 0.0000 (multiplicity 1)  2 Na 2.69

Calculated values
- total DFT energy (no corrections) (eV per atom) = -3.203
- energy of formation (eV/atom) = -0.44
- spin magnetization (μB per atom) = 0.33

[2]
## Na3Hg12Bi (PBE)

Data for an optimized crystal structure of Na3Hg12Bi.

a b c (Å): 5.2753 5.2753 15.4812
angles (deg): 90.00 90.00 90.00
With the nearest neighbours (Å) after each atom.
Space group P4/mmm (No. 123)
Asymmetric unit:
Na: 0.0000 0.0000 0.0000 (multiplicity 1)  8 Hg 3.30
Na: 0.0000 0.0000 0.2585 (multiplicity 2)  8 Hg 3.21-3.32
Hg: 0.0000 0.5000 0.1286 (multiplicity 4)  4 Hg 3.30-3.32, 4 Na 3.30-3.32
Hg: 0.0000 0.5000 0.3763 (multiplicity 4)  4 Hg 3.20-3.26, 2 Na 3.21, 2 Bi 3.26
Hg: 0.5000 0.5000 0.0000 (multiplicity 1)  8 Hg 3.30
Hg: 0.5000 0.5000 0.2589 (multiplicity 2)  8 Hg 3.20-3.32
Hg: 0.5000 0.5000 0.5000 (multiplicity 1)  8 Hg 3.26
Bi: 0.0000 0.0000 0.5000 (multiplicity 1)  8 Hg 3.26

Calculated values
- total DFT energy (no corrections) (eV per atom) = -0.823
- energy of formation (eV/atom) = -0.11
- spin magnetization (μB per atom) = 0.00

[3]
## ScCu2Re (PBE)

Data for an optimized crystal structure of ScCu2Re.

a b c (Å): 4.8483 2.7227 4.8520
angles (deg): 90.00 110.69 90.00
With the nearest neighbours (Å) after each atom.
Space group P2/m (No. 10)
Asymmetric unit:
Sc: 0.0000 0.0000 0.0000 (multiplicity 1)  2 Sc 2.72, 6 Cu 2.76-2.78, 4 Re 2.78
Cu: 0.5000 0.0000 0.5000 (multiplicity 1)  6 Cu 2.72-2.78, 2 Sc 2.76, 4 Re 2.78
Cu: 0.5000 0.5000 0.0000 (multiplicity 1)  6 Cu 2.72-2.78, 2 Re 2.76, 4 Sc 2.78
Re: 0.0000 0.5000 0.5000 (multiplicity 1)  2 Re 2.72, 6 Cu 2.76-2.78, 4 Sc 2.78

Calculated values
- total DFT energy (no corrections) (eV per atom) = -6.544
- energy of formation (eV/atom) = 0.20
- spin magnetization (μB per atom) = 0.00
- excess energy over the best structure of this formula in the dataset (eV per formula unit) = 0.42

[4]
## PuSc5Tl3 (PBE)

Data for an optimized crystal structure of PuSc5Tl3.

a b c (Å): 8.8397 8.8397 6.3048
angles (deg): 90.00 90.00 120.00
With the nearest neighbours (Å) after each atom.
Space group P6_3/mcm (No. 193)
Asymmetric unit:
Pu: 0.0000 0.0000 0.0000 (multiplicity 2)  2 Pu 3.15, 6 Sc 3.22, 6 Tl 3.49
Sc: 0.0000 0.3176 0.2500 (multiplicity 6)  5 Tl 2.92-3.17, 2 Pu 3.22
Sc: 0.3333 0.6667 0.0000 (multiplicity 4)  8 Sc 3.15-3.41, 6 Tl 3.27
Tl: 0.0000 0.3517 0.7500 (multiplicity 6)  9 Sc 2.92-3.27

Calculated values
- total DFT energy (no corrections) (eV per atom) = -6.137
- energy of formation (eV/atom) = -0.24
- spin magnetization (μB per atom) = 0.79

[5]
## Pm8AgPd2 (PBE)

Data for an optimized crystal structure of Pm8AgPd2.

a b c (Å): 8.6700 13.7617 5.7778
angles (deg): 90.00 107.21 90.00
With the nearest neighbours (Å) after each atom.
Space group Cm (No. 8)
Asymmetric unit:
Pm: 0.0000 0.0000 0.0000 (multiplicity 2)  1 Ag 3.19, 2 Pd 3.30, 3 Pm 3.33-3.54
Pm: 0.0956 0.3775 0.7717 (multiplicity 4)  2 Pd 2.91-2.99
Pm: 0.1758 0.1224 0.6007 (multiplicity 4)  2 Pd 2.91-2.99
Pm: 0.2708 0.5000 0.3720 (multiplicity 2)  1 Ag 3.19, 2 Pd 3.29, 3 Pm 3.33-3.54
Pm: 0.3861 0.2345 0.1860 (multiplicity 4)  2 Pd 3.02, 1 Ag 3.23
Ag: 0.3854 0.0000 0.1830 (multiplicity 2)  4 Pm 3.19-3.23
Pd: 0.3853 0.2991 0.6855 (multiplicity 4)  6 Pm 2.91-3.02

Calculated values
- total DFT energy (no corrections) (eV per atom) = -4.874
- energy of formation (eV/atom) = -0.22
- spin magnetization (μB per atom) = 0.00
- excess energy over the best structure of this formula in the dataset (eV per formula unit) = 1.14

[6]
## NaCrTeI2 (PBE)

Data for an optimized crystal structure of NaCrTeI2.

a b c (Å): 5.8108 5.8108 5.7940
angles (deg): 90.00 90.00 90.00
With the nearest neighbours (Å) after each atom.
Space group P4/mmm (No. 123)
Asymmetric unit:
Na: 0.0000 0.0000 0.0000 (multiplicity 1)  2 Te 2.90, 4 I 2.91
Cr: 0.5000 0.5000 0.5000 (multiplicity 1)  8 I 4.10, 4 Te 4.11
Te: 0.0000 0.0000 0.5000 (multiplicity 1)  2 Na 2.90
I: 0.0000 0.5000 0.0000 (multiplicity 2)  2 Na 2.91

Calculated values
- total DFT energy (no corrections) (eV per atom) = -2.990
- energy relative to the elements, uncorrected (eV per formula unit) = 2.23
- spin magnetization (μB per atom) = 0.60
- excess energy over the best structure of this formula in the dataset (eV per formula unit) = 3.87

[7]
## CeEr2ThS4 (PBE)

Data for an optimized crystal structure of CeEr2ThS4.

a b c (Å): 6.7455 3.9064 6.9847
angles (deg): 90.00 108.86 90.00
With the nearest neighbours (Å) after each atom.
Space group P2/m (No. 10)
Asymmetric unit:
Ce: 0.0000 0.0000 0.0000 (multiplicity 1)  6 S 2.86
Er: 0.0000 0.5000 0.5000 (multiplicity 1)  6 S 2.72
Er: 0.5000 0.0000 0.5000 (multiplicity 1)  6 S 2.73
Th: 0.5000 0.5000 0.0000 (multiplicity 1)  6 S 2.87
S: 0.2433 0.0000 0.7319 (multiplicity 2)  3 Er 2.72-2.73, 1 Ce 2.86, 2 Th 2.87
S: 0.2548 0.5000 0.2671 (multiplicity 2)  3 Er 2.72-2.73, 2 Ce 2.86, 1 Th 2.87

Calculated values
- total DFT energy (no corrections) (eV per atom) = -6.826
- energy relative to the elements, uncorrected (eV per formula unit) = -15.62
- spin magnetization (μB per atom) = 0.09

[8]
## Ho2Er6ZrSc3 (PBE)

Data for an optimized crystal structure of Ho2Er6ZrSc3.

a b c (Å): 5.9391 10.2722 11.2719
angles (deg): 90.00 100.06 90.00
With the nearest neighbours (Å) after each atom.
Space group C2/m (No. 12)
Asymmetric unit:
Ho: 0.0000 0.1669 0.0000 (multiplicity 4)  3 Zr 3.42-3.43, 3 Ho 3.42-3.43, 6 Er 3.44-3.45
Er: 0.2429 0.5000 0.7475 (multiplicity 4)  6 Er 3.37-3.46, 3 Sc 3.37-3.41, 1 Zr 3.41, 2 Ho 3.44
Er: 0.2489 0.3360 0.2534 (multiplicity 8)  3 Sc 3.37-3.40, 6 Er 3.37-3.46, 1 Zr 3.42, 2 Ho 3.45
Zr: 0.0000 0.5000 0.0000 (multiplicity 2)  6 Er 3.41-3.42, 6 Ho 3.42-3.43
Sc: 0.0000 0.0000 0.5000 (multiplicity 2)  6 Er 3.37-3.41, 6 Sc 3.42-3.43
Sc: 0.0000 0.3333 0.5000 (multiplicity 4)  6 Er 3.37-3.40, 6 Sc 3.42-3.43

Calculated values
- total DFT energy (no corrections) (eV per atom) = -5.280
- energy of formation (eV/atom) = 0.06
- spin magnetization (μB per atom) = 0.00

Question: The lowest total DFT energy (no corrections) belongs to which entry?
Answer: CeEr2ThS4